(1)
Here is an optimized crystal structure of DyLu2FeCo8 from OQMD via LeMat-Bulk. Energies are from PBE.

Cell lengths 8.4470, 8.4470, 8.4470 Å; angles 34.25, 34.25, 34.25 degrees
Closest atoms and distances in Å follow each position.
Atoms (fractional coordinates):
Co 0.5852 0.0782 0.5852  6 Co 2.43-2.52, 1 Fe 2.47
Co 0.5852 0.5852 0.0782  6 Co 2.43-2.52, 1 Fe 2.47
Co 0.0782 0.5852 0.5852  6 Co 2.43-2.52, 1 Fe 2.47
Fe 0.5000 0.5000 0.5000  6 Co 2.47
Co 0.6652 0.6652 0.6652  6 Co 2.43-2.46
Lu 0.8599 0.8599 0.8599  9 Co 2.84-2.99, 3 Fe 2.94, 3 Lu 3.14
Co 0.4148 0.4148 0.9218  6 Co 2.43-2.52, 1 Fe 2.47
Co 0.9218 0.4148 0.4148  6 Co 2.43-2.52, 1 Fe 2.47
Lu 0.1401 0.1401 0.1401  9 Co 2.84-2.99, 3 Fe 2.94, 3 Lu 3.14
Co 0.4148 0.9218 0.4148  6 Co 2.43-2.52, 1 Fe 2.47
Dy 0.0000 0.0000 0.0000  18 Co 2.87-3.18
Co 0.3348 0.3348 0.3348  6 Co 2.43-2.46

Output
Its space group is No. 166. The total magnetization is 0.9858 μB/atom. The energy of formation comes out at -0.225 eV/atom.

(2)
Here is an optimized crystal structure of DyLu2Fe6Co3 from OQMD via LeMat-Bulk. Energies are from PBE.

Cell lengths 8.5533, 8.5533, 8.5533 Å; angles 34.11, 34.11, 34.11 degrees
Closest atoms and distances in Å follow each position.
Atoms (fractional coordinates):
Fe 0.5833 0.5833 0.0819  3 Co 2.46-2.49, 4 Fe 2.50-2.52
Co 0.5000 0.5000 0.5000  6 Fe 2.49
Fe 0.4167 0.4167 0.9181  3 Co 2.46-2.49, 4 Fe 2.50-2.52
Co 0.6672 0.6672 0.6672  6 Fe 2.46-2.48
Fe 0.0819 0.5833 0.5833  3 Co 2.46-2.49, 4 Fe 2.50-2.52
Fe 0.4167 0.9181 0.4167  3 Co 2.46-2.49, 4 Fe 2.50-2.52
Fe 0.5833 0.0819 0.5833  3 Co 2.46-2.49, 4 Fe 2.50-2.52
Lu 0.8576 0.8576 0.8576  9 Fe 2.89-2.98, 3 Co 2.96, 3 Lu 3.12
Dy 0.0000 0.0000 0.0000  6 Co 2.90, 12 Fe 3.21
Fe 0.9181 0.4167 0.4167  3 Co 2.46-2.49, 4 Fe 2.50-2.52
Lu 0.1424 0.1424 0.1424  9 Fe 2.89-2.98, 3 Co 2.96, 3 Lu 3.12
Co 0.3328 0.3328 0.3328  6 Fe 2.46-2.48

Output
Its space group is No. 166. The total magnetization is 1.3661 μB/atom. The energy of formation comes out at -0.167 eV/atom.

(3)
Here is an optimized crystal structure of Dy2LuFe6Co3 from OQMD via LeMat-Bulk. Energies are from PBE.

Cell lengths 8.6113, 8.6113, 8.6113 Å; angles 33.89, 33.89, 33.89 degrees
Closest atoms and distances in Å follow each position.
Atoms (fractional coordinates):
Fe 0.5811 0.5811 0.0814  3 Co 2.43-2.53, 4 Fe 2.51
Fe 0.5811 0.0814 0.5811  3 Co 2.43-2.53, 4 Fe 2.51
Lu 0.0000 0.0000 0.0000  6 Co 2.90, 12 Fe 3.19
Dy 0.1419 0.1419 0.1419  9 Fe 2.91-3.05, 3 Co 2.96, 3 Dy 3.14
Co 0.3324 0.3324 0.3324  6 Fe 2.43-2.47
Co 0.5000 0.5000 0.5000  6 Fe 2.53
Fe 0.0814 0.5811 0.5811  3 Co 2.43-2.53, 4 Fe 2.51
Fe 0.4189 0.9186 0.4189  3 Co 2.43-2.53, 4 Fe 2.51
Dy 0.8581 0.8581 0.8581  9 Fe 2.91-3.05, 3 Co 2.96, 3 Dy 3.14
Co 0.6676 0.6676 0.6676  6 Fe 2.43-2.47
Fe 0.4189 0.4189 0.9186  3 Co 2.43-2.53, 4 Fe 2.51
Fe 0.9186 0.4189 0.4189  3 Co 2.43-2.53, 4 Fe 2.51

Output
Its space group is No. 166. The total magnetization is 1.3557 μB/atom. The energy of formation comes out at -0.126 eV/atom.

(4)
Here is an optimized crystal structure of Dy3Fe2CoNi6 from OQMD via LeMat-Bulk. Energies are from PBE.

Cell lengths 8.5797, 8.5797, 8.5797 Å; angles 33.81, 33.81, 33.81 degrees
Closest atoms and distances in Å follow each position.
Atoms (fractional coordinates):
Ni 0.5803 0.0836 0.5803  2 Fe 2.43-2.45, 4 Ni 2.48-2.51, 1 Co 2.51
Ni 0.9164 0.4197 0.4197  2 Fe 2.43-2.45, 4 Ni 2.48-2.51, 1 Co 2.51
Fe 0.6675 0.6675 0.6675  6 Ni 2.43-2.45
Co 0.5000 0.5000 0.5000  6 Ni 2.51
Dy 0.8602 0.8602 0.8602  9 Ni 2.87-3.08, 3 Co 2.95, 3 Dy 3.16
Ni 0.0836 0.5803 0.5803  2 Fe 2.43-2.45, 4 Ni 2.48-2.51, 1 Co 2.51
Dy 0.0000 0.0000 0.0000  6 Fe 2.88, 12 Ni 3.18
Dy 0.1398 0.1398 0.1398  9 Ni 2.87-3.08, 3 Co 2.95, 3 Dy 3.16
Ni 0.4197 0.9164 0.4197  2 Fe 2.43-2.45, 4 Ni 2.48-2.51, 1 Co 2.51
Ni 0.4197 0.4197 0.9164  2 Fe 2.43-2.45, 4 Ni 2.48-2.51, 1 Co 2.51
Fe 0.3325 0.3325 0.3325  6 Ni 2.43-2.45
Ni 0.5803 0.5803 0.0836  2 Fe 2.43-2.45, 4 Ni 2.48-2.51, 1 Co 2.51

Output
Its space group is No. 166. The total magnetization is 0.5757 μB/atom. The energy of formation comes out at -0.306 eV/atom.

(5)
Here is an optimized crystal structure of Dy3FeCo2Ni6 from OQMD via LeMat-Bulk. Energies are from PBE.

Cell lengths 8.5865, 8.5865, 8.5865 Å; angles 33.53, 33.53, 33.53 degrees
Closest atoms and distances in Å follow each position.
Atoms (fractional coordinates):
Ni 0.9163 0.4190 0.4190  2 Co 2.45, 4 Ni 2.46-2.49, 1 Fe 2.50
Fe 0.5000 0.5000 0.5000  6 Ni 2.50
Ni 0.5810 0.0837 0.5810  2 Co 2.45, 4 Ni 2.46-2.49, 1 Fe 2.50
Ni 0.4190 0.4190 0.9163  2 Co 2.45, 4 Ni 2.46-2.49, 1 Fe 2.50
Co 0.6671 0.6671 0.6671  6 Ni 2.45
Dy 0.0000 0.0000 0.0000  6 Co 2.86, 12 Ni 3.18
Dy 0.8601 0.8601 0.8601  9 Ni 2.85-3.07, 3 Fe 2.93, 3 Dy 3.14
Ni 0.5810 0.5810 0.0837  2 Co 2.45, 4 Ni 2.46-2.49, 1 Fe 2.50
Dy 0.1399 0.1399 0.1399  9 Ni 2.85-3.07, 3 Fe 2.93, 3 Dy 3.14
Co 0.3329 0.3329 0.3329  6 Ni 2.45
Ni 0.0837 0.5810 0.5810  2 Co 2.45, 4 Ni 2.46-2.49, 1 Fe 2.50
Ni 0.4190 0.9163 0.4190  2 Co 2.45, 4 Ni 2.46-2.49, 1 Fe 2.50

Output
Its space group is No. 166. The total magnetization is 0.2964 μB/atom. The energy of formation comes out at -0.254 eV/atom.

(6)
Here is an optimized crystal structure of Dy2YFeCo6Ni2 from OQMD via LeMat-Bulk. Energies are from PBE.

Cell lengths 8.5635, 8.5635, 8.5635 Å; angles 33.84, 33.84, 33.84 degrees
Closest atoms and distances in Å follow each position.
Atoms (fractional coordinates):
Co 0.5830 0.0812 0.5830  2 Ni 2.46, 4 Co 2.48-2.50, 1 Fe 2.50
Y 0.0000 0.0000 0.0000  6 Ni 2.88, 12 Co 3.19
Ni 0.3334 0.3334 0.3334  6 Co 2.46
Fe 0.5000 0.5000 0.5000  6 Co 2.50
Co 0.4170 0.9188 0.4170  2 Ni 2.46, 4 Co 2.48-2.50, 1 Fe 2.50
Ni 0.6666 0.6666 0.6666  6 Co 2.46
Co 0.0812 0.5830 0.5830  2 Ni 2.46, 4 Co 2.48-2.50, 1 Fe 2.50
Dy 0.1393 0.1393 0.1393  9 Co 2.85-3.06, 3 Fe 2.95, 3 Dy 3.17
Co 0.4170 0.4170 0.9188  2 Ni 2.46, 4 Co 2.48-2.50, 1 Fe 2.50
Dy 0.8607 0.8607 0.8607  9 Co 2.85-3.06, 3 Fe 2.95, 3 Dy 3.17
Co 0.5830 0.5830 0.0812  2 Ni 2.46, 4 Co 2.48-2.50, 1 Fe 2.50
Co 0.9188 0.4170 0.4170  2 Ni 2.46, 4 Co 2.48-2.50, 1 Fe 2.50

Output
Its space group is No. 166. The total magnetization is 0.8085 μB/atom. The energy of formation comes out at -0.209 eV/atom.

(7)
Here is an optimized crystal structure of DyY2Fe6CoNi2 from OQMD via LeMat-Bulk. Energies are from PBE.

Cell lengths 8.7123, 8.7123, 8.7123 Å; angles 33.46, 33.46, 33.46 degrees
Closest atoms and distances in Å follow each position.
Atoms (fractional coordinates):
Ni 0.6674 0.6674 0.6674  6 Fe 2.47-2.50
Y 0.8582 0.8582 0.8582  9 Fe 2.91-3.07, 3 Co 2.96, 3 Y 3.15
Dy 0.0000 0.0000 0.0000  6 Ni 2.90, 12 Fe 3.22
Fe 0.5817 0.5817 0.0824  2 Ni 2.47-2.50, 4 Fe 2.51, 1 Co 2.54
Fe 0.9176 0.4183 0.4183  2 Ni 2.47-2.50, 4 Fe 2.51, 1 Co 2.54
Ni 0.3326 0.3326 0.3326  6 Fe 2.47-2.50
Fe 0.5817 0.0824 0.5817  2 Ni 2.47-2.50, 4 Fe 2.51, 1 Co 2.54
Fe 0.4183 0.9176 0.4183  2 Ni 2.47-2.50, 4 Fe 2.51, 1 Co 2.54
Fe 0.4183 0.4183 0.9176  2 Ni 2.47-2.50, 4 Fe 2.51, 1 Co 2.54
Fe 0.0824 0.5817 0.5817  2 Ni 2.47-2.50, 4 Fe 2.51, 1 Co 2.54
Co 0.5000 0.5000 0.5000  6 Fe 2.54
Y 0.1418 0.1418 0.1418  9 Fe 2.91-3.07, 3 Co 2.96, 3 Y 3.15

Output
Its space group is No. 166. The total magnetization is 1.1730 μB/atom. The energy of formation comes out at -0.139 eV/atom.

(8)
Here is an optimized crystal structure of DyY2Fe2Co6Ni from OQMD via LeMat-Bulk. Energies are from PBE.

Cell lengths 8.5341, 8.5341, 8.5341 Å; angles 34.22, 34.22, 34.22 degrees
Closest atoms and distances in Å follow each position.
Atoms (fractional coordinates):
Fe 0.6665 0.6665 0.6665  6 Co 2.41-2.42
Y 0.1402 0.1402 0.1402  9 Co 2.89-3.08, 3 Ni 2.97, 3 Y 3.17
Y 0.8598 0.8598 0.8598  9 Co 2.89-3.08, 3 Ni 2.97, 3 Y 3.17
Co 0.4199 0.9188 0.4200  2 Fe 2.41-2.42, 4 Co 2.51-2.52, 1 Ni 2.53
Dy 0.0000 0.0000 0.0000  6 Fe 2.90, 12 Co 3.17
Ni 0.5000 0.5000 0.5000  6 Co 2.53
Co 0.5801 0.0812 0.5800  2 Fe 2.41-2.42, 4 Co 2.51-2.52, 1 Ni 2.53
Co 0.9188 0.4199 0.4200  2 Fe 2.41-2.42, 4 Co 2.51-2.52, 1 Ni 2.53
Co 0.4199 0.4199 0.9188  2 Fe 2.41-2.42, 4 Co 2.51-2.52, 1 Ni 2.53
Fe 0.3335 0.3335 0.3335  6 Co 2.41-2.42
Co 0.5801 0.5801 0.0812  2 Fe 2.41-2.42, 4 Co 2.51-2.52, 1 Ni 2.53
Co 0.0812 0.5801 0.5800  2 Fe 2.41-2.42, 4 Co 2.51-2.52, 1 Ni 2.53

Output
Its space group is No. 166. The total magnetization is 0.9195 μB/atom. The energy of formation comes out at -0.181 eV/atom.

(9)
Here is an optimized crystal structure of DyY2FeCo2Ni6 from OQMD via LeMat-Bulk. Energies are from PBE.

Cell lengths 8.5967, 8.5967, 8.5967 Å; angles 33.48, 33.48, 33.48 degrees
Closest atoms and distances in Å follow each position.
Atoms (fractional coordinates):
Ni 0.4192 0.9166 0.4192  2 Co 2.44-2.45, 4 Ni 2.46-2.49, 1 Fe 2.51
Ni 0.9166 0.4192 0.4192  2 Co 2.44-2.45, 4 Ni 2.46-2.49, 1 Fe 2.51
Co 0.3328 0.3328 0.3328  6 Ni 2.44-2.45
Fe 0.5000 0.5000 0.5000  6 Ni 2.51
Y 0.8604 0.8604 0.8604  9 Ni 2.85-3.08, 3 Fe 2.93, 3 Y 3.15
Dy 0.0000 0.0000 0.0000  6 Co 2.86, 12 Ni 3.17
Ni 0.0834 0.5807 0.5808  2 Co 2.44-2.45, 4 Ni 2.46-2.49, 1 Fe 2.51
Y 0.1396 0.1396 0.1396  9 Ni 2.85-3.08, 3 Fe 2.93, 3 Y 3.15
Ni 0.5808 0.5808 0.0834  2 Co 2.44-2.45, 4 Ni 2.46-2.49, 1 Fe 2.51
Co 0.6672 0.6672 0.6672  6 Ni 2.44-2.45
Ni 0.4192 0.4192 0.9166  2 Co 2.44-2.45, 4 Ni 2.46-2.49, 1 Fe 2.51
Ni 0.5807 0.0834 0.5808  2 Co 2.44-2.45, 4 Ni 2.46-2.49, 1 Fe 2.51

Output
Its space group is No. 166. The total magnetization is 0.2938 μB/atom. The energy of formation comes out at -0.240 eV/atom.

(10)
Here is an optimized crystal structure of Dy2YFe6Co2Ni from OQMD via LeMat-Bulk. Energies are from PBE.

Cell lengths 8.6681, 8.6681, 8.6681 Å; angles 33.73, 33.73, 33.73 degrees
Closest atoms and distances in Å follow each position.
Atoms (fractional coordinates):
Ni 0.5000 0.5000 0.5000  6 Fe 2.55
Co 0.6672 0.6672 0.6672  6 Fe 2.45-2.47
Fe 0.5814 0.5814 0.0806  2 Co 2.45-2.47, 4 Fe 2.51-2.52, 1 Ni 2.55
Co 0.3328 0.3328 0.3328  6 Fe 2.45-2.47
Fe 0.4186 0.9194 0.4186  2 Co 2.45-2.47, 4 Fe 2.51-2.52, 1 Ni 2.55
Dy 0.8580 0.8580 0.8580  9 Fe 2.92-3.06, 3 Ni 2.97, 3 Dy 3.14
Fe 0.4186 0.4186 0.9194  2 Co 2.45-2.47, 4 Fe 2.51-2.52, 1 Ni 2.55
Fe 0.0806 0.5814 0.5814  2 Co 2.45-2.47, 4 Fe 2.51-2.52, 1 Ni 2.55
Y 0.0000 0.0000 0.0000  6 Co 2.90, 12 Fe 3.21
Fe 0.5814 0.0806 0.5814  2 Co 2.45-2.47, 4 Fe 2.51-2.52, 1 Ni 2.55
Dy 0.1420 0.1420 0.1420  9 Fe 2.92-3.06, 3 Ni 2.97, 3 Dy 3.14
Fe 0.9194 0.4186 0.4186  2 Co 2.45-2.47, 4 Fe 2.51-2.52, 1 Ni 2.55

Output
Its space group is No. 166. The total magnetization is 1.3065 μB/atom. The energy of formation comes out at -0.115 eV/atom.

(11)
Here is an optimized crystal structure of Dy2YFeCo2Ni6 from OQMD via LeMat-Bulk. Energies are from PBE.

Cell lengths 8.5460, 8.5460, 8.5460 Å; angles 34.01, 34.01, 34.01 degrees
Closest atoms and distances in Å follow each position.
Atoms (fractional coordinates):
Co 0.3334 0.3334 0.3334  6 Ni 2.46
Ni 0.4176 0.4176 0.9177  2 Co 2.46, 1 Fe 2.49, 4 Ni 2.50
Ni 0.4176 0.9177 0.4176  2 Co 2.46, 1 Fe 2.49, 4 Ni 2.50
Ni 0.5824 0.5824 0.0823  2 Co 2.46, 1 Fe 2.49, 4 Ni 2.50
Y 0.0000 0.0000 0.0000  6 Co 2.89, 12 Ni 3.19
Ni 0.5824 0.0823 0.5824  2 Co 2.46, 1 Fe 2.49, 4 Ni 2.50
Fe 0.5000 0.5000 0.5000  6 Ni 2.49
Ni 0.0823 0.5824 0.5824  2 Co 2.46, 1 Fe 2.49, 4 Ni 2.50
Dy 0.1388 0.1388 0.1388  9 Ni 2.85-3.07, 3 Fe 2.96, 3 Dy 3.19
Ni 0.9177 0.4176 0.4176  2 Co 2.46, 1 Fe 2.49, 4 Ni 2.50
Dy 0.8612 0.8612 0.8612  9 Ni 2.85-3.07, 3 Fe 2.96, 3 Dy 3.19
Co 0.6666 0.6666 0.6666  6 Ni 2.46

Output
Its space group is No. 166. The total magnetization is 0.5262 μB/atom. The energy of formation comes out at -0.276 eV/atom.

(12)
Here is an optimized crystal structure of Dy2YFe2Co6Ni from OQMD via LeMat-Bulk. Energies are from PBE.

Cell lengths 8.5233, 8.5233, 8.5233 Å; angles 34.21, 34.21, 34.21 degrees
Closest atoms and distances in Å follow each position.
Atoms (fractional coordinates):
Fe 0.3336 0.3336 0.3336  6 Co 2.41-2.43
Co 0.4197 0.4197 0.9185  2 Fe 2.41-2.43, 4 Co 2.50-2.51, 1 Ni 2.52
Dy 0.8596 0.8596 0.8596  9 Co 2.89-3.06, 3 Ni 2.96, 3 Dy 3.16
Dy 0.1404 0.1404 0.1404  9 Co 2.89-3.06, 3 Ni 2.96, 3 Dy 3.16
Ni 0.5000 0.5000 0.5000  6 Co 2.52
Co 0.4197 0.9185 0.4197  2 Fe 2.41-2.43, 4 Co 2.50-2.51, 1 Ni 2.52
Fe 0.6664 0.6664 0.6664  6 Co 2.41-2.43
Co 0.0815 0.5803 0.5803  2 Fe 2.41-2.43, 4 Co 2.50-2.51, 1 Ni 2.52
Y 0.0000 0.0000 0.0000  6 Fe 2.90, 12 Co 3.17
Co 0.9185 0.4197 0.4197  2 Fe 2.41-2.43, 4 Co 2.50-2.51, 1 Ni 2.52
Co 0.5803 0.5803 0.0815  2 Fe 2.41-2.43, 4 Co 2.50-2.51, 1 Ni 2.52
Co 0.5803 0.0815 0.5803  2 Fe 2.41-2.43, 4 Co 2.50-2.51, 1 Ni 2.52

Output
Its space group is No. 166. The total magnetization is 0.5116 μB/atom. The energy of formation comes out at -0.167 eV/atom.

energy of formation of number 10 (Dy2YFe6Co2Ni)?
-0.115 eV/atom

What is the formula in the seventh record?
DyY2Fe6CoNi2

Which of these has the lowest energy of formation?
Dy3Fe2CoNi6

What is the formula in the fifth record?
Dy3FeCo2Ni6